1.
Entry from Alexandria: crystalline LiCuCSO7 at its relaxed geometry (GGA-PBEsol).

The structure in POSCAR format:
```
LiCuCSO7
1.0
-1.2108 1.2567 4.4612
5.3028 -3.9193 2.5433
5.0078 6.2112 -0.8698
Li Cu C S O
2 2 2 2 14
Direct
0.2366 0.5162 0.7481
0.7634 0.0162 0.2519
0.7850 0.2508 0.6520
0.2150 0.7508 0.3480
0.7065 0.2359 0.9330
0.2935 0.7359 0.0670
0.7300 0.7603 0.5991
0.2700 0.2603 0.4009
0.3364 0.6973 0.9218
0.9513 0.2513 0.8685
0.5132 0.2618 0.8113
0.7575 0.9281 0.7010
0.8446 0.5904 0.6812
0.1405 0.2919 0.5662
0.4213 0.7182 0.5533
0.5787 0.2182 0.4467
0.8595 0.7919 0.4338
0.1554 0.0904 0.3188
0.2425 0.4281 0.2990
0.4868 0.7618 0.1887
0.0487 0.7513 0.1315
0.6636 0.1973 0.0782
```

The value obtained for the formation energy (no corrections) is -1.2582 eV/atom. The calculation puts the calculated total energy at -6.4467 eV per atom. The value obtained for the size of the total moment is 0.00 μB/f.u.



2.
Entry from Alexandria: crystalline SrCeScO4 at its relaxed geometry (GGA-PBEsol).

The structure in POSCAR format:
```
SrCeScO4
1.0
5.6328 0.0000 0.0000
0.0000 5.8276 0.0000
-2.8164 0.0000 6.1051
Sr Ce Sc O
2 2 2 8
Direct
0.8947 0.4877 0.7895
0.1053 0.9877 0.2105
0.6077 0.5147 0.2154
0.3923 0.0147 0.7846
0.2462 0.5042 0.4923
0.7538 0.0042 0.5077
0.9697 0.2589 0.4516
0.0303 0.7589 0.5484
0.5181 0.7589 0.5484
0.4819 0.2589 0.4516
0.9169 0.0674 0.8339
0.5690 0.9082 0.1380
0.0831 0.5674 0.1661
0.4310 0.4082 0.8620
```

The value obtained for the formation energy (no corrections) is -3.2030 eV/atom. The calculation puts the calculated total energy at -8.3514 eV per atom. The value obtained for the size of the total moment is 1.00 μB/f.u. Its density of states at the Fermi level is 15.13 states/eV/cell.



3.
Entry from Alexandria: crystalline LiFePO4 at its relaxed geometry (GGA-PBEsol).

The structure in POSCAR format:
```
LiFePO4
1.0
-4.4163 1.5121 5.5959
-2.7812 -1.0751 -6.6493
-0.8389 -9.3331 1.8599
Li Fe P O
6 6 6 24
Direct
0.7955 0.7410 0.7411
0.0545 0.2590 0.2411
0.2045 0.9455 0.2411
0.2590 0.0545 0.7411
0.7410 0.7955 0.2411
0.9455 0.2045 0.7411
0.0811 0.5958 0.0149
0.4042 0.4853 0.0149
0.5147 0.9189 0.0149
0.5958 0.0811 0.5149
0.4853 0.4042 0.5149
0.9189 0.5147 0.5149
0.6667 0.3333 0.8261
0.0000 0.0000 0.4923
0.6667 0.3333 0.2101
0.0000 0.0000 0.9923
0.3333 0.6667 0.7101
0.3333 0.6667 0.3261
0.4484 0.2943 0.8731
0.3333 0.6667 0.8786
0.1059 0.8765 0.0507
0.1541 0.7057 0.3731
0.2943 0.4484 0.3731
0.1101 0.4970 0.6653
0.8941 0.7706 0.5507
0.8459 0.5516 0.8731
0.8899 0.3869 0.1653
0.6131 0.5030 0.1653
0.6667 0.3333 0.6591
0.3333 0.6667 0.1591
0.6667 0.3333 0.3786
0.8765 0.1059 0.5507
0.7057 0.1541 0.8731
0.0000 0.0000 0.3313
0.7706 0.8941 0.0507
0.4970 0.1101 0.1653
0.5516 0.8459 0.3731
0.2294 0.1235 0.5507
0.3869 0.8899 0.6653
0.5030 0.6131 0.6653
0.0000 0.0000 0.8313
0.1235 0.2294 0.0507
```

The value obtained for the formation energy (no corrections) is -1.9045 eV/atom. The calculation puts the calculated total energy at -7.2929 eV per atom. The value obtained for the size of the total moment is 4.00 μB/f.u. Its density of states at the Fermi level is 0.11 states/eV/cell.



4.
Entry from Alexandria: crystalline CoSeCl2 at its relaxed geometry (GGA-PBEsol).

The structure in POSCAR format:
```
CoSeCl2
1.0
3.1515 0.0000 0.0000
1.5757 2.7293 0.0000
1.5757 0.9098 9.5941
Co Se Cl
1 1 2
Direct
0.5000 0.5000 0.5000
0.0000 0.0000 0.0000
0.8793 0.8793 0.3621
0.1207 0.1207 0.6379
```

The value obtained for the formation energy (no corrections) is -0.0427 eV/atom. The calculation puts the calculated total energy at -3.9435 eV per atom. The value obtained for the size of the total moment is 0.67 μB/f.u. Its density of states at the Fermi level is 3.68 states/eV/cell.



5.
Entry from Alexandria: crystalline SnAs2PSe at its relaxed geometry (GGA-PBEsol).

The structure in POSCAR format:
```
SnAs2PSe
1.0
-3.9871 3.0474 -0.5424
-0.6423 -1.6978 -4.8165
-3.0904 -3.7356 1.7289
P As Sn Se
1 2 1 1
Direct
0.5000 0.5000 0.5000
0.0000 0.0000 0.5000
0.0000 0.5000 0.0000
0.0000 0.0000 0.0000
0.5000 0.0000 0.0000
```

The value obtained for the formation energy (no corrections) is 1.2337 eV/atom. The calculation puts the calculated total energy at -3.5890 eV per atom. The value obtained for the size of the total moment is 0.00 μB/f.u. Its density of states at the Fermi level is 5.49 states/eV/cell.



6.
Entry from Alexandria: crystalline LaPPt2 at its relaxed geometry (GGA-PBEsol).

The structure in POSCAR format:
```
LaPPt2
1.0
-2.6474 -0.4132 -3.0457
0.1317 -4.0313 0.4324
-2.1625 2.4264 4.2520
La P Pt
1 1 2
Direct
0.5000 0.5000 0.0000
0.0000 0.0000 0.0000
0.7500 0.2500 0.5000
0.2500 0.7500 0.5000
```

The calculation puts the calculated total energy at -6.8277 eV per atom. The value obtained for the size of the total moment is 0.00 μB/f.u. Its density of states at the Fermi level is 2.33 states/eV/cell.



7.
Entry from Alexandria: crystalline CoPt2Pb at its relaxed geometry (GGA-PBEsol).

The structure in POSCAR format:
```
CoPt2Pb
1.0
-2.4519 -1.5181 0.4823
-0.5192 -0.3185 -3.6416
3.1870 -5.1486 -0.0041
Pb Co Pt
1 1 2
Direct
0.5000 0.5000 0.7454
0.0000 0.0000 0.4532
0.0000 0.0000 0.0235
0.5000 0.5000 0.2779
```

The calculation puts the calculated total energy at -6.2165 eV per atom. The value obtained for the size of the total moment is 2.06 μB/f.u. Its density of states at the Fermi level is 4.01 states/eV/cell.



8.
Entry from Alexandria: crystalline DyB4Ru at its relaxed geometry (GGA-PBEsol).

The structure in POSCAR format:
```
DyB4Ru
1.0
-3.0270 1.0173 -1.4473
0.0330 -4.8129 -3.4520
-5.7810 -5.7919 8.0199
Dy B Ru
4 16 4
Direct
0.0000 0.1284 0.6499
0.0000 0.8716 0.3501
0.0000 0.6284 0.8501
0.0000 0.3716 0.1499
0.5000 0.4759 0.6919
0.5000 0.5241 0.3081
0.5000 0.9759 0.8081
0.5000 0.0241 0.1919
0.5000 0.2884 0.8145
0.5000 0.7116 0.1855
0.5000 0.7884 0.6855
0.5000 0.2116 0.3145
0.5000 0.3639 0.9694
0.5000 0.6361 0.0306
0.5000 0.8639 0.5306
0.5000 0.1361 0.4694
0.5000 0.3877 0.5468
0.5000 0.6123 0.4532
0.5000 0.8877 0.9532
0.5000 0.1123 0.0468
0.0000 0.1391 0.9080
0.0000 0.8609 0.0920
0.0000 0.6391 0.5920
0.0000 0.3609 0.4080
```

The calculation puts the calculated total energy at -7.8996 eV per atom. The value obtained for the size of the total moment is 0.00 μB/f.u. Its density of states at the Fermi level is 3.44 states/eV/cell.



9.
Entry from Alexandria: crystalline AlNiRu at its relaxed geometry (GGA-PBEsol).

The structure in POSCAR format:
```
AlNiRu
1.0
2.8528 0.0000 0.0000
0.0000 2.8528 0.0000
-1.4264 -1.4264 4.5420
Ru Al Ni
1 1 1
Direct
0.3334 0.3334 0.6667
0.0072 0.0072 0.0143
0.6595 0.6595 0.3189
```

The calculation puts the calculated total energy at -7.0805 eV per atom. The value obtained for the size of the total moment is 0.00 μB/f.u. Its density of states at the Fermi level is 3.59 states/eV/cell.



10.
Entry from Alexandria: crystalline LiTcSn2Cl at its relaxed geometry (GGA-PBEsol).

The structure in POSCAR format:
```
LiTcSn2Cl
1.0
-1.2501 0.8223 -4.8503
-4.8691 -0.9210 1.0988
-0.7152 5.0152 1.0345
Cl Li Sn Tc
1 1 2 1
Direct
0.0000 0.0000 0.5000
0.5000 0.5000 0.5000
0.0000 0.5000 0.0000
0.5000 0.0000 0.0000
0.0000 0.0000 0.0000
```

The value obtained for the formation energy (no corrections) is 0.1976 eV/atom. The calculation puts the calculated total energy at -4.5543 eV per atom. The value obtained for the size of the total moment is 0.00 μB/f.u. Its density of states at the Fermi level is 3.83 states/eV/cell.



11.
Entry from Alexandria: crystalline K2InTe at its relaxed geometry (GGA-PBEsol).

The structure in POSCAR format:
```
K2InTe
1.0
3.4737 0.0000 0.0000
0.0000 6.3619 -0.0614
0.0000 -2.1351 5.9933
In K Te
1 2 1
Direct
0.5000 0.5000 0.5000
0.0000 0.5000 0.0000
0.0000 0.0000 0.5000
0.5000 0.0000 0.0000
```

The value obtained for the formation energy (no corrections) is -0.3650 eV/atom. The calculation puts the calculated total energy at -2.5589 eV per atom. The value obtained for the size of the total moment is 0.00 μB/f.u. Its density of states at the Fermi level is 1.30 states/eV/cell.



12.
Entry from Alexandria: crystalline CuIr2Au at its relaxed geometry (GGA-PBEsol).

The structure in POSCAR format:
```
CuIr2Au
1.0
2.7255 0.0000 0.0000
0.0000 4.6715 -0.0044
-1.3628 -0.8995 4.4485
Au Cu Ir
1 1 2
Direct
0.5000 0.0000 0.0000
0.0000 0.5000 0.0000
0.2597 0.2637 0.5194
0.7403 0.7363 0.4806
```

The calculation puts the calculated total energy at -6.7602 eV per atom. The value obtained for the size of the total moment is 0.00 μB/f.u. Its density of states at the Fermi level is 4.35 states/eV/cell.



13.
Entry from Alexandria: crystalline Ni2RuCl at its relaxed geometry (GGA-PBEsol).

The structure in POSCAR format:
```
Ni2RuCl
1.0
-1.5953 -0.5960 2.1347
0.7205 -1.9815 -1.7355
6.4283 -1.5027 4.3843
Cl Ni Ru
1 2 1
Direct
0.5000 0.5000 0.0000
0.0000 0.0000 0.2439
0.0000 0.0000 0.7561
0.5000 0.5000 0.5000
```

The value obtained for the formation energy (no corrections) is 0.4694 eV/atom. The calculation puts the calculated total energy at -5.6544 eV per atom. The value obtained for the size of the total moment is 1.11 μB/f.u. Its density of states at the Fermi level is 6.42 states/eV/cell.



14.
Entry from Alexandria: crystalline BeBPb3 at its relaxed geometry (GGA-PBEsol).

The structure in POSCAR format:
```
BeBPb3
1.0
4.9437 0.0000 0.0000
0.0000 4.9437 0.0000
0.0000 0.0000 4.9437
Pb Be B
3 1 1
Direct
0.0000 0.5000 0.0000
0.0000 0.0000 0.5000
0.5000 0.0000 0.0000
0.0000 0.0000 0.0000
0.5000 0.5000 0.5000
```

The calculation puts the calculated total energy at -3.3821 eV per atom. The value obtained for the size of the total moment is 0.00 μB/f.u. Its density of states at the Fermi level is 3.34 states/eV/cell.



15.
Entry from Alexandria: crystalline Co2SiHg at its relaxed geometry (GGA-PBEsol).

The structure in POSCAR format:
```
Co2SiHg
1.0
5.2350 0.0000 0.0000
2.6175 4.5973 0.0000
2.6175 0.0000 4.5973
Si Co Hg
2 4 2
Direct
0.5000 0.0000 0.0000
0.2500 0.5000 0.5000
0.8750 0.9504 0.5496
0.3750 0.0496 0.4504
0.5754 0.5496 0.0496
0.1746 0.4504 0.9504
0.0000 0.0000 0.0000
0.7500 0.5000 0.5000
```

The value obtained for the formation energy (no corrections) is 0.2815 eV/atom. The calculation puts the calculated total energy at -5.1654 eV per atom. The value obtained for the size of the total moment is 0.01 μB/f.u. Its density of states at the Fermi level is 8.04 states/eV/cell.



16.
Entry from Alexandria: crystalline Y2MgCl at its relaxed geometry (GGA-PBEsol).

The structure in POSCAR format:
```
Y2MgCl
1.0
-1.6840 -3.0330 4.0377
3.0222 -0.5643 4.3458
-1.4849 2.2583 4.5862
Cl Mg Y
1 1 2
Direct
0.5000 0.5000 0.5000
0.2500 0.2500 0.2500
0.0000 0.0000 0.0000
0.7500 0.7500 0.7500
```

The value obtained for the formation energy (no corrections) is 0.1608 eV/atom. The calculation puts the calculated total energy at -4.1815 eV per atom. The value obtained for the size of the total moment is 0.00 μB/f.u. Its density of states at the Fermi level is 6.32 states/eV/cell.



17.
Entry from Alexandria: crystalline LaCoPt2 at its relaxed geometry (GGA-PBEsol).

The structure in POSCAR format:
```
LaCoPt2
1.0
-3.2609 2.2757 -0.7353
-2.3767 -2.9452 1.4249
0.2753 1.6342 3.8370
Co Pt La
1 2 1
Direct
0.5000 0.5000 0.5000
0.0000 0.5000 0.0000
0.5000 0.0000 0.0000
0.0000 0.0000 0.5000
```

The calculation puts the calculated total energy at -7.1678 eV per atom. The value obtained for the size of the total moment is 1.33 μB/f.u. Its density of states at the Fermi level is 4.31 states/eV/cell.



18.
Entry from Alexandria: crystalline FeRu2Pt at its relaxed geometry (GGA-PBEsol).

The structure in POSCAR format:
```
FeRu2Pt
1.0
-1.6800 -0.3737 1.9911
-2.5080 -1.3794 -2.3750
1.9652 -4.8583 0.7464
Fe Pt Ru
1 1 2
Direct
0.5000 0.5000 0.0000
0.5000 0.5000 0.5000
0.0000 0.0000 0.7693
0.0000 0.0000 0.2307
```

The calculation puts the calculated total energy at -8.9685 eV per atom. The value obtained for the size of the total moment is 0.04 μB/f.u. Its density of states at the Fermi level is 4.70 states/eV/cell.



19.
Entry from Alexandria: crystalline CuRh at its relaxed geometry (GGA-PBEsol).

The structure in POSCAR format:
```
CuRh
1.0
4.3037 0.0000 0.0000
0.0000 4.5032 0.0000
0.0000 0.0000 5.1893
Cu Rh
4 4
Direct
0.7500 0.9199 0.8734
0.2500 0.5801 0.3734
0.7500 0.4199 0.6266
0.2500 0.0801 0.1266
0.7500 0.9189 0.3733
0.2500 0.5811 0.8733
0.7500 0.4189 0.1267
0.2500 0.0811 0.6267
```

The calculation puts the calculated total energy at -6.1181 eV per atom. The value obtained for the size of the total moment is 0.00 μB/f.u. Its density of states at the Fermi level is 11.73 states/eV/cell.



20.
Entry from Alexandria: crystalline SrBe4Mo at its relaxed geometry (GGA-PBEsol).

The structure in POSCAR format:
```
SrBe4Mo
1.0
-0.5885 -2.1801 -4.2079
3.4236 -2.8580 -1.7080
-0.6941 -4.7219 -0.1664
Sr Mo Be
1 1 4
Direct
0.0000 0.0000 0.0000
0.2500 0.2500 0.2500
0.6203 0.6203 0.1390
0.1390 0.6203 0.6203
0.6203 0.1390 0.6203
0.6203 0.6203 0.6203
```

The calculation puts the calculated total energy at -4.3975 eV per atom. The value obtained for the size of the total moment is 0.00 μB/f.u. Its density of states at the Fermi level is 5.40 states/eV/cell.